Here is crystalline Pr2Ni3Sn4Hg at its relaxed geometry from Alexandria. Energies are from PBE.

Cell lengths 4.524, 4.524, 10.628 Å; angles 90.00, 90.00, 90.00 degrees
Fractional positions:
Pr 0.000 0.500 0.244
Pr 0.500 0.000 0.756
Ni 0.000 0.500 0.885
Ni 0.500 0.000 0.115
Ni 0.500 0.500 0.500
Sn 0.000 0.000 0.000
Sn 0.000 0.500 0.651
Sn 0.500 0.000 0.349
Sn 0.500 0.500 0.000
Hg 0.000 0.000 0.500

As for the crystal system: tetragonal. The total moment is 0.000 μB per atom. For the uncorrected energy, the calculation gives -4.780 eV per atom.